# Ca2PuPbO8 (PBE, optimized geometry)
# Formation energy from raw total energies ... -2.048 eV per atom
# Space group ... P2/m
# Size of the total moment ... 0.000 μB/f.u.
data_Ca2PuPbO8
_space_group_name_H-M_alt 'P 1'
_space_group_IT_number 1
_space_group_name_Hall 'P 1'
_cell_length_a 5.0551
_cell_length_b 7.1439
_cell_length_c 5.0730
_cell_angle_alpha 90.00
_cell_angle_beta 93.90
_cell_angle_gamma 90.00
loop_
_atom_site_label
_atom_site_fract_x
_atom_site_fract_y
_atom_site_fract_z
_atom_site_occupancy
Ca1 0.0000 0.2490 0.0000 1
Ca2 0.0000 0.7510 0.0000 1
Pu1 0.5000 0.5000 0.5000 1
Pb1 0.5000 0.0000 0.5000 1
O1 0.2103 0.0000 0.2129 1
O2 0.2190 0.5000 0.2232 1
O3 0.3229 0.2872 0.6799 1
O4 0.3229 0.7128 0.6799 1
O5 0.6771 0.2872 0.3201 1
O6 0.6771 0.7128 0.3201 1
O7 0.7810 0.5000 0.7768 1
O8 0.7897 0.0000 0.7871 1